# meta-GGA SCAN LiTlI2, single point on PBEsol structure
# formation energy (no corrections)	-3.8	eV/f.u.
# total energy	-38.008	eV/atom
# D(E_F)	0.000	states/eV per atom
data_LiTlI2
_chemical_formula_sum 'Li4 Tl4 I8'
_symmetry_space_group_name_H-M 'I -4 2 d'
_symmetry_Int_Tables_number 122
_symmetry_space_group_name_Hall 'I -4 2bw'
_cell_length_a 8.0860
_cell_length_b 8.0860
_cell_length_c 8.4654
_cell_angle_alpha 90.00
_cell_angle_beta 90.00
_cell_angle_gamma 90.00
loop_
_atom_site_label
_atom_site_type_symbol
_atom_site_fract_x
_atom_site_fract_y
_atom_site_fract_z
Li1 Li 0.0000 0.0000 0.0000
Tl1 Tl 0.0000 0.0000 0.5000
I1 I 0.1867 0.7500 0.1250